Entry 1:
4
Lattice="2.7979 0.0000 0.0000 0.0000 3.6736 0.0000 0.0000 0.0000 7.1527" Properties=species:S:1:pos:R:3 comment="CoAgAs2, relaxed, DFT PBE" space_group="Pmm2 (25)" formation_energy_mev_per_atom=120.0 final_energy_ev_per_atom=-4.6940 pbc="T T T"
Co 0.0000 0.0000 0.0000
Ag 1.3989 1.8368 3.3399
As 0.0000 0.0000 4.8880
As 1.3989 1.8368 0.7155


Entry 2:
4
Lattice="4.5404 0.0000 0.0000 0.0000 4.7477 0.0000 0.0000 0.0000 4.7695" Properties=species:S:1:pos:R:3 comment="TmSnHgPb, relaxed, DFT PBE" space_group="Pmmm (47)" formation_energy_mev_per_atom=-309.3 final_energy_ev_per_atom=-3.4304 pbc="T T T"
Tm 0.0000 0.0000 0.0000
Sn 2.2702 2.3739 0.0000
Hg 0.0000 2.3739 2.3848
Pb 2.2702 0.0000 2.3848


Entry 3:
4
Lattice="0.0000 3.6124 3.6124 3.6124 0.0000 3.6124 3.6124 3.6124 0.0000" Properties=species:S:1:pos:R:3 comment="AgTe2Cl, relaxed, DFT PBE" space_group="Fm-3m (225)" raw_formation_energy_ev_per_atom=0.2131 final_energy_ev_per_atom=-2.5322 pbc="T T T"
Ag 0.0000 0.0000 0.0000
Te 1.8062 1.8062 1.8062
Te 5.4186 5.4186 5.4186
Cl 3.6124 3.6124 3.6124


Entry 4:
12
Lattice="4.7098 0.0000 0.0000 0.0000 7.6584 0.0000 -0.6069 0.0000 5.7634" Properties=species:S:1:pos:R:3 comment="K2NaHgF8, relaxed, DFT PBE" space_group="P2/m (10)" raw_formation_energy_ev_per_atom=-1.7748 final_energy_ev_per_atom=-3.3403 pbc="T T T"
K 0.0000 1.9145 0.0000
K 0.0000 5.7439 0.0000
Na 2.0514 0.0000 2.8817
Hg 2.0514 3.8292 2.8817
F -0.0521 0.0000 1.9182
F 0.3077 3.8292 1.6985
F 1.6243 2.1513 4.1829
F 1.6243 5.5071 4.1829
F 2.4786 2.1513 1.5805
F 2.4786 5.5071 1.5805
F 3.7952 3.8292 4.0649
F 4.1550 0.0000 3.8452


Entry 5:
8
Lattice="5.5942 0.0000 0.0000 -2.7971 4.8447 0.0000 0.0000 0.0000 4.4493" Properties=species:S:1:pos:R:3 comment="ScNbRh6, relaxed, DFT PBE" space_group="P-6m2 (187)" formation_energy_mev_per_atom=-543.4 final_energy_ev_per_atom=-8.1071 pbc="T T T"
Sc 0.0000 0.0000 0.0000
Nb 2.7971 1.6149 2.2247
Rh -1.3879 2.4285 0.0000
Rh 0.0000 1.6393 2.2247
Rh -1.3774 4.0251 2.2247
Rh 1.3879 2.4285 0.0000
Rh 0.0000 4.8324 0.0000
Rh 1.3774 4.0251 2.2247


Entry 6:
4
Lattice="1.4716 0.8496 8.3386 -1.4716 0.8496 8.3386 0.0000 -1.6992 8.3386" Properties=species:S:1:pos:R:3 comment="Si2IrPd, relaxed, DFT PBE" space_group="R-3m (166)" raw_formation_energy_ev_per_atom=-0.2071 final_energy_ev_per_atom=-6.4321 pbc="T T T"
Si 0.0000 0.0000 2.3432
Si 0.0000 0.0000 22.6725
Ir 0.0000 0.0000 12.5079
Pd 0.0000 0.0000 0.0000


Entry 7:
10
Lattice="4.1731 0.0000 0.0000 0.0000 4.1731 0.0000 0.0000 0.0000 9.5616" Properties=species:S:1:pos:R:3 comment="Pm2CoNi3As4, relaxed, DFT PBE" space_group="P-4m2 (115)" formation_energy_mev_per_atom=-795.0 final_energy_ev_per_atom=-6.0499 pbc="T T T"
Pm 0.0000 2.0866 2.3755
Pm 2.0866 0.0000 7.1861
Co 2.0866 2.0866 0.0000
Ni 0.0000 0.0000 0.0000
Ni 0.0000 2.0866 5.9345
Ni 2.0866 0.0000 3.6271
As 0.0000 0.0000 4.7808
As 0.0000 2.0866 8.3143
As 2.0866 0.0000 1.2473
As 2.0866 2.0866 4.7808


Entry 8:
5
Lattice="3.7960 0.0000 0.0000 0.0000 3.7960 0.0000 0.0000 0.0000 3.7776" Properties=species:S:1:pos:R:3 comment="TcRhC2O, relaxed, DFT PBE" space_group="P4/mmm (123)" raw_formation_energy_ev_per_atom=2.1626 final_energy_ev_per_atom=-6.0621 pbc="T T T"
Tc 0.0000 0.0000 0.0000
Rh 1.8980 1.8980 0.0000
C 0.0000 1.8980 1.8888
C 1.8980 0.0000 1.8888
O 1.8980 1.8980 1.8888


Entry 9:
4
Lattice="1.6270 -2.2566 0.0000 1.6270 2.2566 0.0000 0.0000 0.0000 9.9986" Properties=species:S:1:pos:R:3 comment="MgTa2Ag, relaxed, DFT PBE" space_group="Cmmm (65)" formation_energy_mev_per_atom=344.7 final_energy_ev_per_atom=-6.6931 pbc="T T T"
Mg 0.0000 0.0000 0.0000
Ta 1.6270 0.0000 2.5279
Ta 1.6270 0.0000 7.4707
Ag 0.0000 0.0000 4.9993


Entry 10:
11
Lattice="6.3274 0.0000 0.0000 1.3123 6.5623 0.0000 2.7947 1.6060 7.4893" Properties=species:S:1:pos:R:3 comment="Cu2Ag2Te7, relaxed, DFT PBE" space_group="P-1 (2)" raw_formation_energy_ev_per_atom=0.0492 final_energy_ev_per_atom=-3.2133 pbc="T T T"
Cu 2.0705 3.5547 2.5464
Cu 8.3639 4.6137 4.9429
Ag 5.6821 7.0688 5.2698
Ag 4.7522 1.0996 2.2195
Te 0.6561 3.2812 0.0000
Te 1.3218 1.0515 2.3090
Te 4.1658 3.1696 4.1545
Te 3.3643 4.5572 0.4652
Te 7.0700 3.6112 7.0241
Te 6.2686 4.9988 3.3348
Te 9.1126 7.1168 5.1803


Entry 11:
4
Lattice="1.7461 1.0081 12.4663 -1.7461 1.0081 12.4663 0.0000 -2.0163 12.4663" Properties=species:S:1:pos:R:3 comment="CsYSc2, relaxed, DFT PBE" space_group="R-3m (166)" formation_energy_mev_per_atom=438.2 final_energy_ev_per_atom=-4.5569 pbc="T T T"
Cs 0.0000 0.0000 0.0000
Y 0.0000 0.0000 18.6994
Sc 0.0000 0.0000 3.5359
Sc 0.0000 0.0000 33.8630


Entry 12:
12
Lattice="9.9529 -2.2488 0.0000 9.9529 2.2488 0.0000 -2.2410 0.0000 8.9684" Properties=species:S:1:pos:R:3 comment="La6TlGe2Te3, relaxed, DFT PBE" space_group="C2/m (12)" raw_formation_energy_ev_per_atom=-1.1544 final_energy_ev_per_atom=-5.3703 pbc="T T T"
La -0.4306 0.0000 2.3118
La 5.5509 0.0000 3.8675
La 4.5820 0.0000 8.0440
La 13.0827 0.0000 0.9244
La 12.1139 0.0000 5.1009
La 18.0954 0.0000 6.6566
Tl 9.9529 0.0000 0.0000
Ge 2.5770 0.0000 2.9912
Ge 15.0877 0.0000 5.9772
Te 1.4092 0.0000 7.4630
Te 8.8324 0.0000 4.4842
Te 16.2556 0.0000 1.5054


Entry 13:
12
Lattice="2.7175 1.5690 8.8193 -2.7175 1.5690 8.8193 0.0000 -3.1379 8.8193" Properties=species:S:1:pos:R:3 comment="CaY2Pt9, relaxed, DFT PBE" space_group="R-3m (166)" formation_energy_mev_per_atom=-872.7 final_energy_ev_per_atom=-6.6475 pbc="T T T"
Ca 0.0000 0.0000 0.0000
Y 0.0000 0.0000 3.6784
Y 0.0000 0.0000 22.7795
Pt -1.3780 -0.7956 11.0769
Pt 0.0000 0.0000 8.8016
Pt 0.0000 -1.5912 15.3809
Pt -1.3780 0.7956 15.3809
Pt 0.0000 0.0000 13.2289
Pt 1.3780 -0.7956 11.0769
Pt 0.0000 1.5912 11.0769
Pt 0.0000 0.0000 17.6562
Pt 1.3780 0.7956 15.3810


Entry 14:
8
Lattice="2.6357 1.5217 9.0191 -2.6357 1.5217 9.0191 0.0000 -3.0434 9.0191" Properties=species:S:1:pos:R:3 comment="PrTm2MgTl4, relaxed, DFT PBE" space_group="R-3m (166)" formation_energy_mev_per_atom=-269.5 final_energy_ev_per_atom=-3.3673 pbc="T T T"
Pr 0.0000 0.0000 0.0000
Tm 0.0000 0.0000 6.6128
Tm 0.0000 0.0000 20.4445
Mg 0.0000 0.0000 13.5286
Tl 0.0000 0.0000 3.4274
Tl 0.0000 0.0000 10.2655
Tl 0.0000 0.0000 16.7918
Tl 0.0000 0.0000 23.6299


Entry 15:
9
Lattice="4.6666 -2.5133 0.0000 4.6666 2.5133 0.0000 -1.9366 0.0000 9.3715" Properties=species:S:1:pos:R:3 comment="Li3Pm2Tl4, relaxed, DFT PBE" space_group="C2/m (12)" formation_energy_mev_per_atom=-283.6 final_energy_ev_per_atom=-3.0289 pbc="T T T"
Li 0.0000 0.0000 0.0000
Li 2.7877 0.0000 3.8540
Li 4.6089 0.0000 5.5175
Pm 1.2280 0.0000 7.1093
Pm 6.1686 0.0000 2.2622
Tl -0.0161 0.0000 3.5420
Tl 3.1517 0.0000 0.9679
Tl 4.2449 0.0000 8.4037
Tl 7.4127 0.0000 5.8295


Entry 16:
4
Lattice="1.8886 1.0904 12.4530 -1.8886 1.0904 12.4530 0.0000 -2.1808 12.4530" Properties=species:S:1:pos:R:3 comment="Ca2PmPr, relaxed, DFT PBE" space_group="R3m (160)" formation_energy_mev_per_atom=36.0 final_energy_ev_per_atom=-3.3473 pbc="T T T"
Ca 0.0000 0.0000 0.0000
Ca 0.0000 0.0000 15.7135
Pm 0.0000 0.0000 21.7540
Pr 0.0000 0.0000 31.3746


Entry 17:
4
Lattice="3.7306 0.0000 0.0000 -1.8653 3.2308 0.0000 0.0000 0.0000 8.9941" Properties=species:S:1:pos:R:3 comment="RbTePtW, relaxed, DFT PBE" space_group="P3m1 (156)" raw_formation_energy_ev_per_atom=0.1865 final_energy_ev_per_atom=-5.5893 pbc="T T T"
Rb 0.0000 0.0000 0.0000
Te 0.0000 2.1539 3.0553
Pt 0.0000 2.1539 6.2456
W 0.0000 0.0000 4.8657


Entry 18:
4
Lattice="3.2262 0.0000 0.0000 0.0000 3.2262 0.0000 0.0000 0.0000 6.2232" Properties=species:S:1:pos:R:3 comment="Mg2CuRh, relaxed, DFT PBE" space_group="P4mm (99)" formation_energy_mev_per_atom=-180.9 final_energy_ev_per_atom=-3.8401 pbc="T T T"
Mg 0.0000 0.0000 0.0000
Mg 1.6131 1.6131 2.0904
Cu 1.6131 1.6131 4.8381
Rh 0.0000 0.0000 3.4437


Entry 19:
4
Lattice="4.5285 0.0000 0.0000 0.0000 2.1608 5.8430 0.0000 -2.1608 5.8430" Properties=species:S:1:pos:R:3 comment="La2ZrAs, relaxed, DFT PBE" space_group="Amm2 (38)" formation_energy_mev_per_atom=-571.1 final_energy_ev_per_atom=-6.3343 pbc="T T T"
La 0.0000 0.0000 0.0000
La 2.2643 0.0000 3.4152
Zr 2.2643 0.0000 6.7856
As 0.0000 0.0000 8.3810


Entry 20:
19
Lattice="-5.3404 5.3404 5.3404 5.3404 -5.3404 5.3404 5.3404 5.3404 -5.3404" Properties=species:S:1:pos:R:3 comment="Ac12Co6Bi, relaxed, DFT PBE" space_group="Im-3 (204)" formation_energy_mev_per_atom=-122.8 final_energy_ev_per_atom=-5.1659 pbc="T T T"
Ac 5.3404 -1.9886 3.3264
Ac 3.3518 2.0140 0.0000
Ac 7.3289 2.0140 0.0000
Ac 3.3264 5.3404 -1.9886
Ac 2.0140 0.0000 3.3518
Ac 5.3404 1.9886 3.3264
Ac 0.0000 3.3518 2.0140
Ac 3.3264 5.3404 1.9886
Ac 2.0140 0.0000 7.3289
Ac -1.9886 3.3264 5.3404
Ac 1.9886 3.3264 5.3404
Ac 0.0000 7.3289 2.0140
Co 5.3404 0.0000 1.1500
Co 5.3404 4.1903 0.0000
Co 1.1500 5.3404 0.0000
Co 4.1903 0.0000 5.3404
Co 0.0000 1.1500 5.3404
Co 0.0000 5.3404 4.1903
Bi 0.0000 0.0000 0.0000